(A)
TiCrCo2 | PBE-GGA | relaxed

a b c (Å): 2.988 4.084 4.084
angles (deg): 90.00 90.00 90.00
Site moments in Bohr magnetons follow the coordinates.
Positions (direct):
Co: 0.000 0.000 0.500  1.03
Ti: 0.500 0.500 0.500  -0.31
Cr: 0.500 0.000 0.000  2.25
Co: 0.000 0.500 0.000  1.03

## Properties
Space group = P4/mmm, No. 123
Calculated density = 7.256 g cm⁻³

(B)
TiCrCo2 | PBE-GGA | relaxed

a b c (Å): 3.626 3.626 8.388
angles (deg): 77.52 77.52 90.00
Site moments in Bohr magnetons follow the coordinates.
Positions (direct):
Ti: 0.250 0.750 0.500  -0.02
Cr: 0.750 0.250 0.500  -0.30
Co: 0.643 0.125 0.250  0.31
Co: 0.375 0.357 0.750  0.32
Ti: 0.500 0.500 0.000  -0.02
Co: 0.875 0.893 0.750  0.33
Cr: 0.000 0.000 0.000  -0.30
Co: 0.107 0.625 0.250  0.31

## Properties
Space group = I-42d, No. 122
Calculated density = 6.885 g cm⁻³

Least stable structure: (B)

(A)
TiCrCo4 | PBE-GGA | relaxed

a b c (Å): 4.345 4.147 8.365
angles (deg): 104.31 105.06 90.12
Site moments in Bohr magnetons follow the coordinates.
Positions (direct):
Co: 0.598 0.160 0.819  0.92
Cr: 0.500 0.000 0.500  -0.91
Co: 0.023 0.080 0.661  0.93
Ti: 0.224 0.250 0.000  -0.24
Ti: 0.776 0.750 0.000  -0.24
Co: 0.402 0.840 0.181  0.92
Co: 0.221 0.660 0.819  0.92
Co: 0.638 0.581 0.661  0.93
Co: 0.362 0.419 0.339  0.93
Co: 0.779 0.340 0.181  0.92
Co: 0.977 0.920 0.339  0.93
Cr: 0.000 0.500 0.500  -0.91

## Properties
Space group = C2/m, No. 12
Calculated density = 7.923 g cm⁻³

(B)
TiCrCo4 | PBE-GGA | relaxed

a b c (Å): 4.698 4.698 4.698
angles (deg): 60.00 60.00 60.00
Site moments in Bohr magnetons follow the coordinates.
Positions (direct):
Co: 0.625 0.124 0.625  1.31
Ti: 0.250 0.250 0.250  -0.31
Co: 0.625 0.625 0.124  1.31
Co: 0.625 0.625 0.625  1.31
Cr: 0.000 0.000 0.000  2.65
Co: 0.124 0.625 0.625  1.31

## Properties
Space group = F-43m, No. 216
Calculated density = 7.599 g cm⁻³

Least stable structure: (A)